(1)
VASP calculation (PBE) on an optimized crystal structure of InNiOs2.

Structure (CIF):
```
data_InNiOs2
_symmetry_space_group_name_H-M 'P 1'
_symmetry_Int_Tables_number 1
_cell_length_a 4.154
_cell_length_b 3.811
_cell_length_c 3.811
_cell_angle_alpha 90.00
_cell_angle_beta 90.00
_cell_angle_gamma 90.00
loop_
_symmetry_equiv_pos_as_xyz
'x,y,z'
loop_
_atom_site_label
_atom_site_type_symbol
_atom_site_fract_x
_atom_site_fract_y
_atom_site_fract_z
_atom_site_occupancy
Os1 Os 0.000 0.500 0.500 1
Ni1 Ni 0.500 0.000 0.500 1
Os2 Os 0.000 0.000 0.000 1
In1 In 0.500 0.500 0.000 1
```

Properties
Electronic total energy   -7.20 eV/atom
DOS(E_F)   5.63 states/eV per cell
Symmetry   P4/mmm, No. 123
Total magnetic moment   0.0 μB per cell

***

(2)
VASP calculation (PBE) on an optimized crystal structure of InNiOs.

Structure (CIF):
```
data_InNiOs
_symmetry_space_group_name_H-M 'P 1'
_symmetry_Int_Tables_number 1
_cell_length_a 4.178
_cell_length_b 4.178
_cell_length_c 4.178
_cell_angle_alpha 60.00
_cell_angle_beta 60.00
_cell_angle_gamma 60.00
loop_
_symmetry_equiv_pos_as_xyz
'x,y,z'
loop_
_atom_site_label
_atom_site_type_symbol
_atom_site_fract_x
_atom_site_fract_y
_atom_site_fract_z
_atom_site_occupancy
In1 In 0.500 0.500 0.500 1
Os1 Os 0.000 0.000 0.000 1
Ni1 Ni 0.250 0.250 0.250 1
```

Properties
Electronic total energy   -5.99 eV/atom
DOS(E_F)   4.08 states/eV per cell
E above lowest polymorph   246.0 meV per atom
Symmetry   F-43m, No. 216
Total magnetic moment   2.1 μB per cell

***

(3)
VASP calculation (PBE) on an optimized crystal structure of InNiOs2.

Structure (CIF):
```
data_InNiOs2
_symmetry_space_group_name_H-M 'P 1'
_symmetry_Int_Tables_number 1
_cell_length_a 4.289
_cell_length_b 4.289
_cell_length_c 3.251
_cell_angle_alpha 90.00
_cell_angle_beta 90.00
_cell_angle_gamma 90.00
loop_
_symmetry_equiv_pos_as_xyz
'x,y,z'
loop_
_atom_site_label
_atom_site_type_symbol
_atom_site_fract_x
_atom_site_fract_y
_atom_site_fract_z
_atom_site_occupancy
In1 In 0.500 0.000 0.500 1
Os1 Os 0.500 0.500 0.000 1
Os2 Os 0.000 0.000 0.000 1
Ni1 Ni 0.000 0.500 0.500 1
```

Properties
Electronic total energy   -7.11 eV/atom
DOS(E_F)   3.93 states/eV per cell
Symmetry   P4/mmm, No. 123
Total magnetic moment   0.0 μB per cell